Material: Cs3Sm3HfTe8
Method: DFT, PBE
State: optimized geometry

Cell lengths 8.9658, 8.9658, 27.4811 Å; angles 90.00, 90.00, 120.00 degrees
Space group R-3m (No. 166, hexagonal axes)
One atom of each set of equivalent atoms:
Cs 0.0000 0.5000 0.0000 [9 per cell]
Sm 0.0000 0.5000 0.5000 [9 per cell]
Hf 0.0000 0.0000 0.5000 [3 per cell]
Te 0.0000 0.0000 0.2315 [6 per cell]
Te 0.0209 0.5105 0.2281 [18 per cell]

Output
Uncorrected energy (eV/cell): -213.0

=====

Material: Li2TlHg2Bi
Method: DFT, PBE
State: optimized geometry

Cell lengths 4.8598, 4.8598, 7.3725 Å; angles 90.00, 90.00, 120.00 degrees
Space group P-3m1 (No. 164)
One atom of each set of equivalent atoms:
Li 0.3333 0.6667 0.1463 [2 per cell]
Tl 0.0000 0.0000 0.5000 [1 per cell]
Hg 0.3333 0.6667 0.7299 [2 per cell]
Bi 0.0000 0.0000 0.0000 [1 per cell]

Output
Energy relative to the elements (eV per formula unit): -1.39

=====

Listing total magnetization for the structures above in their given order: 0.00, 0.00 μB/f.u..